SbPd | PBE | relaxed

a = 7.377 Å, b = 7.377 Å, c = 7.377 Å
α = 90.00°, β = 90.00°, γ = 90.00°
Space group Pm-3n (No. 223)
Symmetry-distinct sites (fractional):
Sb1 0.000 0.250 0.500 [6 per cell]
Pd1 0.000 0.500 0.250 [6 per cell]

Summary:
raw formation energy = 50.1 meV per atom
crystal system = cubic


SbPd | PBE | relaxed

a = 8.6480 Å, b = 8.6480 Å, c = 4.5130 Å
α = 90.00°, β = 90.00°, γ = 120.00°
Space group P6_3/m (No. 176)
Symmetry-distinct sites (fractional):
Sb1 0.0049 0.2926 0.2500 [6 per cell]
Pd1 0.1216 0.4862 0.7500 [6 per cell]

Summary:
raw formation energy = -129.4 meV per atom
crystal system = hexagonal


Sb2Pd13 | PBE | relaxed

a = 6.196 Å, b = 6.404 Å, c = 6.977 Å
α = 67.50°, β = 70.53°, γ = 83.92°
Space group P-1 (No. 2)
Symmetry-distinct sites (fractional):
Sb1 0.155 0.462 0.269 [2 per cell]
Pd1 0.000 0.000 0.500 [1 per cell]
Pd2 0.067 0.739 0.899 [2 per cell]
Pd3 0.192 0.214 0.686 [2 per cell]
Pd4 0.267 0.937 0.095 [2 per cell]
Pd5 0.326 0.668 0.498 [2 per cell]
Pd6 0.401 0.398 0.890 [2 per cell]
Pd7 0.470 0.129 0.299 [2 per cell]

Summary:
raw formation energy = -232.3 meV per atom
crystal system = triclinic


Sb3Pd7 | PBE | relaxed

a = 14.603 Å, b = 4.320 Å, c = 5.789 Å
α = 90.00°, β = 107.23°, γ = 90.00°
Space group C2/m (No. 12)
Symmetry-distinct sites (fractional):
Sb1 0.000 0.000 0.000 [2 per cell]
Sb2 0.191 0.000 0.670 [4 per cell]
Pd1 0.000 0.000 0.500 [2 per cell]
Pd2 0.083 0.500 0.850 [4 per cell]
Pd3 0.126 0.500 0.380 [4 per cell]
Pd4 0.203 0.000 0.142 [4 per cell]

Summary:
raw formation energy = -380.6 meV per atom
crystal system = monoclinic


SbPd3 | PBE | relaxed

a = 5.7604 Å, b = 5.7604 Å, c = 4.6436 Å
α = 90.00°, β = 90.00°, γ = 120.00°
Space group P6_3/mmc (No. 194)
Symmetry-distinct sites (fractional):
Sb1 0.3333 0.6667 0.2500 [2 per cell]
Pd1 0.1674 0.3347 0.7500 [6 per cell]

Summary:
raw formation energy = -358.7 meV per atom
crystal system = hexagonal


SbPd | PBE | relaxed

a = 8.229 Å, b = 8.229 Å, c = 8.229 Å
α = 90.00°, β = 90.00°, γ = 90.00°
Space group I-43m (No. 217)
Symmetry-distinct sites (fractional):
Sb1 0.151 0.151 0.849 [8 per cell]
Pd1 0.166 0.166 0.166 [8 per cell]

Summary:
raw formation energy = -13.0 meV per atom
crystal system = cubic


SbPd | PBE | relaxed

a = 4.223 Å, b = 3.858 Å, c = 6.166 Å
α = 90.00°, β = 107.09°, γ = 90.00°
Space group P2_1/m (No. 11)
Symmetry-distinct sites (fractional):
Sb1 0.118 0.250 0.198 [2 per cell]
Pd1 0.265 0.750 0.533 [2 per cell]

Summary:
raw formation energy = -231.2 meV per atom
crystal system = monoclinic


SbPd | PBE | relaxed

a = 3.424 Å, b = 13.553 Å, c = 5.596 Å
α = 90.00°, β = 90.00°, γ = 90.00°
Space group Imm2 (No. 44)
Symmetry-distinct sites (fractional):
Sb1 0.000 0.000 0.000 [2 per cell]
Sb2 0.000 0.316 0.058 [4 per cell]
Pd1 0.000 0.339 0.545 [4 per cell]
Pd2 0.000 0.500 0.887 [2 per cell]

Summary:
raw formation energy = -294.6 meV per atom
crystal system = orthorhombic